1.
First-principles (PBE) data for crystalline LaRe3As at its relaxed geometry, as listed in Alexandria via LeMat-Bulk.

Computed properties:
As for the energy above the most stable polymorph in this dataset: 2087 meV per atom. The density of states at the Fermi level comes out at 1.59 states/eV per atom. Its formation energy is 3.099 eV per atom. As for the volume: 113 Å³ per cell.

a = 4.836 Å, b = 4.836 Å, c = 4.836 Å
α = 90.00°, β = 90.00°, γ = 90.00°
Space group Pm-3m (No. 221)
Unique sites:
La 0.000 0.000 0.000 (multiplicity 1)
Re 0.000 0.000 0.500 (multiplicity 3)
As 0.500 0.500 0.500 (multiplicity 1)

2.
First-principles (PBE) data for crystalline La2ReAs at its relaxed geometry, as listed in Alexandria via LeMat-Bulk.

Computed properties:
The density of states at the Fermi level comes out at 0.29 states/eV per atom. Its formation energy is 0.083 eV per atom. As for the volume: 405 Å³ per cell.

a = 8.086 Å, b = 8.086 Å, c = 6.190 Å
α = 90.00°, β = 90.00°, γ = 90.00°
Space group I-42d (No. 122)
Unique sites:
La 0.207 0.250 0.125 (multiplicity 8)
Re 0.000 0.000 0.000 (multiplicity 4)
As 0.000 0.000 0.500 (multiplicity 4)

no.,raw total energy (eV/atom)
1,-6.29
2,-6.66